No. 1
! PaNiPtN | the Alexandria database | PBE | relaxed; values from VASP
! VASP energy, eV per atom: -8.30
! E_form (uncorrected), kJ/mol of atoms: -85
&SYSTEM
  ibrav = 0, nat = 8, ntyp = 4
/
ATOMIC_SPECIES
Pa 231.04 Pa.upf
Ni 58.69 Ni.upf
Pt 195.08 Pt.upf
N 14.01 N.upf
ATOMIC_POSITIONS angstrom
Pa 1.002 1.002 1.182
Pa 3.006 3.006 6.159
Ni 1.002 1.002 5.282
Ni 3.006 3.006 2.059
Pt 1.002 3.006 3.671
Pt 3.006 1.002 3.671
N 1.002 3.006 0.000
N 3.006 1.002 0.000
CELL_PARAMETERS angstrom
4.008 0.000 0.000
0.000 4.008 0.000
0.000 0.000 7.341

No. 2
! Pu2PaNiN4 | the Alexandria database | PBE | relaxed; values from VASP
! VASP energy, eV per atom: -10.75
! E_form (uncorrected), kJ/mol of atoms: -105
&SYSTEM
  ibrav = 0, nat = 16, ntyp = 4
/
ATOMIC_SPECIES
Pu 244.00 Pu.upf
Pa 231.04 Pa.upf
Ni 58.69 Ni.upf
N 14.01 N.upf
ATOMIC_POSITIONS angstrom
Pu 1.687 4.103 6.422
Pu 1.687 4.103 10.849
Pu 1.687 -4.103 0.665
Pu 1.687 -4.103 5.092
Pa 1.687 1.238 8.636
Pa 1.687 -1.238 2.879
Ni 1.687 1.738 2.879
Ni 1.687 -1.738 8.636
N 1.687 5.131 8.636
N 1.687 3.107 1.446
N 1.687 3.107 4.311
N 1.687 0.000 0.000
N 1.687 0.000 5.757
N 1.687 -3.107 7.203
N 1.687 -3.107 10.068
N 1.687 -5.131 2.879
CELL_PARAMETERS angstrom
1.687 -5.555 0.000
1.687 5.555 0.000
0.000 0.000 11.514

No. 3
! PuPa2NiN5 | the Alexandria database | PBE | relaxed; values from VASP
! VASP energy, eV per atom: -10.04
! E_form (uncorrected), kJ/mol of atoms: -103
&SYSTEM
  ibrav = 0, nat = 18, ntyp = 4
/
ATOMIC_SPECIES
Pu 244.00 Pu.upf
Pa 231.04 Pa.upf
Ni 58.69 Ni.upf
N 14.01 N.upf
ATOMIC_POSITIONS angstrom
Pu 1.679 4.226 5.168
Pu 1.679 -4.226 0.000
Pa 1.679 4.964 1.940
Pa 1.679 4.944 8.309
Pa 1.679 -4.944 3.142
Pa 1.679 -4.964 7.108
Ni 1.679 0.111 5.089
Ni 1.679 -0.111 10.257
N 1.679 6.254 5.985
N 1.679 2.647 8.626
N 1.679 2.643 1.620
N 1.679 2.072 5.269
N 1.679 0.078 3.089
N 1.679 -0.078 8.256
N 1.679 -2.072 0.102
N 1.679 -2.643 6.788
N 1.679 -2.647 3.458
N 1.679 -6.254 0.817
CELL_PARAMETERS angstrom
1.679 -6.627 0.000
1.679 6.627 0.000
0.000 0.000 10.335

No. 4
! PuPaNiN3 | the Alexandria database | PBE | relaxed; values from VASP
! VASP energy, eV per atom: -10.07
! E_form (uncorrected), kJ/mol of atoms: -94
&SYSTEM
  ibrav = 0, nat = 12, ntyp = 4
/
ATOMIC_SPECIES
Pu 244.00 Pu.upf
Pa 231.04 Pa.upf
Ni 58.69 Ni.upf
N 14.01 N.upf
ATOMIC_POSITIONS angstrom
Pu 1.165 0.840 1.015
Pu 4.765 2.521 5.991
Pa 0.705 0.840 4.630
Pa 5.225 2.521 2.376
Ni 2.494 2.521 2.759
Ni 3.436 0.840 4.247
N 0.478 2.521 2.743
N 0.035 2.521 6.265
N 2.575 2.521 4.817
N 3.355 0.840 2.189
N 5.895 0.840 0.741
N 5.452 0.840 4.263
CELL_PARAMETERS angstrom
7.007 0.000 0.000
0.000 3.361 0.000
-1.077 0.000 7.006

No. 5
! Pa2ReNiN5 | the Alexandria database | PBE | relaxed; values from VASP
! VASP energy, eV per atom: -9.56
! E_form (uncorrected), kJ/mol of atoms: -77
&SYSTEM
  ibrav = 0, nat = 18, ntyp = 4
/
ATOMIC_SPECIES
Pa 231.04 Pa.upf
Re 186.21 Re.upf
Ni 58.69 Ni.upf
N 14.01 N.upf
ATOMIC_POSITIONS angstrom
Pa 1.676 5.116 4.779
Pa 1.676 4.829 1.165
Pa 1.676 -4.829 5.945
Pa 1.676 -5.116 0.000
Re 1.676 4.048 7.868
Re 1.676 -4.048 3.089
Ni 1.676 0.749 2.487
Ni 1.676 -0.749 7.266
N 1.676 5.996 8.357
N 1.676 2.751 4.498
N 1.676 2.533 1.743
N 1.676 2.001 7.822
N 1.676 0.091 5.557
N 1.676 -0.091 0.778
N 1.676 -2.001 3.043
N 1.676 -2.533 6.522
N 1.676 -2.751 9.278
N 1.676 -5.996 3.578
CELL_PARAMETERS angstrom
1.676 -6.592 0.000
1.676 6.592 0.000
0.000 0.000 9.559

No. 6
! PaNiSbN | the Alexandria database | PBE | relaxed; values from VASP
! VASP energy, eV per atom: -7.77
! E_form (uncorrected), kJ/mol of atoms: -81
&SYSTEM
  ibrav = 0, nat = 8, ntyp = 4
/
ATOMIC_SPECIES
Pa 231.04 Pa.upf
Ni 58.69 Ni.upf
Sb 121.76 Sb.upf
N 14.01 N.upf
ATOMIC_POSITIONS angstrom
Pa 0.000 0.000 3.603
Pa 0.000 0.000 26.442
Ni 0.000 0.000 11.703
Ni 0.000 0.000 18.342
Sb 0.000 0.000 8.893
Sb 0.000 0.000 21.152
N 0.000 0.000 5.795
N 0.000 0.000 24.250
CELL_PARAMETERS angstrom
2.040 1.178 10.015
-2.040 1.178 10.015
0.000 -2.356 10.015